No. 1
The following is a DFT calculation (PBE) of a relaxed PaNbAg crystal.

Density in Mg/m³: 11.10
SG: I4mm (107)
Electronic total energy in eV/atom: -7.09
Density of states at the Fermi level in states/eV/atom: 1.098

Structure (POSCAR):
```
PaNbAg
1.0
-3.240 -0.549 -2.017
1.262 -3.480 -1.081
-0.888 0.248 5.045
Nb Pa Ag
1 1 1
direct
0.355 0.355 0.710 Nb
0.653 0.653 0.305 Pa
0.993 0.993 0.985 Ag
```

=====

No. 2
The following is a DFT calculation (PBE) of a relaxed SrPWCl2 crystal.

Density in Mg/m³: 5.24
SG: P4/mmm (123)
Electronic total energy in eV/atom: -5.25
Density of states at the Fermi level in states/eV/atom: 0.469

Structure (POSCAR):
```
SrPWCl2
1.0
4.970 0.000 0.000
0.000 4.970 0.000
0.000 0.000 4.786
Sr P W Cl
1 1 1 2
direct
0.500 0.500 0.500 Sr
0.000 0.000 0.500 P
0.000 0.000 0.000 W
0.000 0.500 0.000 Cl
0.500 0.000 0.000 Cl
```

=====

No. 3
The following is a DFT calculation (PBE) of a relaxed PmPu2Rh crystal.

Density in Mg/m³: 10.99
SG: R-3m (166)
Electronic total energy in eV/atom: -10.09
Density of states at the Fermi level in states/eV/atom: 4.128

Structure (POSCAR):
```
PmPu2Rh
1.0
-2.532 0.948 2.307
-0.302 -1.701 3.105
5.442 6.411 6.074
Pm Rh Pu
1 1 2
direct
0.000 0.000 0.000 Pm
0.500 0.500 0.500 Rh
0.105 0.105 0.685 Pu
0.895 0.895 0.315 Pu
```

=====

No. 4
The following is a DFT calculation (PBE) of a relaxed Pt crystal.

Density in Mg/m³: 11.20
SG: P6_3/mmc (194)
Electronic total energy in eV/atom: -5.09
Density of states at the Fermi level in states/eV/atom: 1.182

Structure (POSCAR):
```
Pt
1.0
9.640 0.000 0.000
-4.820 8.348 0.000
0.000 0.000 4.315
Pt
12
direct
0.669 0.076 0.250 Pt
0.592 0.669 0.750 Pt
0.924 0.592 0.250 Pt
0.331 0.924 0.750 Pt
0.408 0.331 0.250 Pt
0.076 0.408 0.750 Pt
0.592 0.924 0.750 Pt
0.669 0.592 0.250 Pt
0.076 0.669 0.750 Pt
0.408 0.076 0.250 Pt
0.331 0.408 0.750 Pt
0.924 0.331 0.250 Pt
```

=====

No. 5
The following is a DFT calculation (PBE) of a relaxed CaMg9Zn2 crystal.

Density in Mg/m³: 2.30
SG: C2/m (12)
Electronic total energy in eV/atom: -1.51
Density of states at the Fermi level in states/eV/atom: 0.322

Structure (POSCAR):
```
CaMg9Zn2
1.0
9.103 0.185 0.113
7.703 6.266 0.473
7.703 3.282 5.358
Mg Zn Ca
9 2 1
direct
0.413 0.290 0.290 Mg
0.587 0.710 0.710 Mg
0.500 0.500 0.500 Mg
0.143 0.529 0.529 Mg
0.765 0.028 0.528 Mg
0.765 0.528 0.028 Mg
0.857 0.471 0.471 Mg
0.235 0.472 0.972 Mg
0.235 0.972 0.472 Mg
0.275 0.053 0.053 Zn
0.725 0.947 0.947 Zn
0.000 0.000 0.000 Ca
```

=====

No. 6
The following is a DFT calculation (PBE) of a relaxed RbPm2F7 crystal.

Density in Mg/m³: 4.33
SG: Cmmm (65)
Electronic total energy in eV/atom: -6.21
Density of states at the Fermi level in states/eV/atom: 0.000

Structure (POSCAR):
```
RbPm2F7
1.0
4.535 0.000 0.000
0.000 6.926 -0.006
0.000 -3.060 6.213
Rb Pm F
1 2 7
direct
0.000 0.000 0.000 Rb
0.500 0.694 0.306 Pm
0.500 0.306 0.694 Pm
0.000 0.712 0.288 F
0.000 0.288 0.712 F
0.500 0.045 0.334 F
0.500 0.955 0.666 F
0.500 0.334 0.045 F
0.500 0.666 0.955 F
0.500 0.500 0.500 F
```

=====

No. 7
The following is a DFT calculation (PBE) of a relaxed Mg5HIr4 crystal.

Density in Mg/m³: 9.89
SG: P1 (1)
Electronic total energy in eV/atom: -4.94
Density of states at the Fermi level in states/eV/atom: 0.240

Structure (POSCAR):
```
Mg5HIr4
1.0
4.289 0.043 -1.804
0.549 4.458 2.413
-0.643 0.047 8.142
Mg H Ir
5 1 4
direct
0.086 0.758 0.743 Mg
0.236 0.108 0.982 Mg
0.995 0.440 0.491 Mg
0.920 0.105 0.255 Mg
0.797 0.743 0.030 Mg
0.458 0.138 0.777 H
0.412 0.429 0.188 Ir
0.477 0.760 0.405 Ir
0.523 0.102 0.584 Ir
0.591 0.456 0.801 Ir
```

=====

No. 8
The following is a DFT calculation (PBE) of a relaxed LaCr2Hg crystal.

Density in Mg/m³: 7.81
SG: R-3m (166)
Electronic total energy in eV/atom: -5.39
Density of states at the Fermi level in states/eV/atom: 0.938

Structure (POSCAR):
```
LaCr2Hg
1.0
9.585 -0.316 -0.185
9.091 3.054 -0.185
9.091 1.333 2.754
Cr Hg La
2 1 1
direct
0.992 0.992 0.992 Cr
0.508 0.508 0.508 Cr
0.250 0.250 0.250 Hg
0.750 0.750 0.750 La
```

=====

No. 9
The following is a DFT calculation (PBE) of a relaxed TaSbRh2 crystal.

Density in Mg/m³: 11.69
SG: R-3m (166)
Electronic total energy in eV/atom: -7.85
Density of states at the Fermi level in states/eV/atom: 0.635

Structure (POSCAR):
```
TaSbRh2
1.0
8.248 -1.595 -0.018
8.248 1.595 -0.018
7.945 0.000 2.728
Ta Sb Rh
1 1 2
direct
0.000 0.000 0.000 Ta
0.500 0.500 0.500 Sb
0.743 0.743 0.743 Rh
0.257 0.257 0.257 Rh
```

=====

No. 10
The following is a DFT calculation (PBE) of a relaxed PrInCuAu crystal.

Density in Mg/m³: 9.88
SG: F-43m (216)
Electronic total energy in eV/atom: -4.19
Density of states at the Fermi level in states/eV/atom: 0.675

Structure (POSCAR):
```
PrInCuAu
1.0
4.969 0.000 0.000
2.484 4.303 0.000
2.484 1.434 4.057
Pr Au Cu In
1 1 1 1
direct
0.000 0.000 0.000 Pr
0.750 0.750 0.750 Au
0.250 0.250 0.250 Cu
0.500 0.500 0.500 In
```

=====

No. 11
The following is a DFT calculation (PBE) of a relaxed Ca3As3Pt2 crystal.

Density in Mg/m³: 6.82
SG: Cmcm (63)
Electronic total energy in eV/atom: -5.03
Density of states at the Fermi level in states/eV/atom: 0.263

Structure (POSCAR):
```
Ca3As3Pt2
1.0
-2.098 -2.447 2.866
4.285 -2.975 -2.649
9.762 4.372 10.881
Ca As Pt
6 6 4
direct
0.866 0.733 0.403 Ca
0.134 0.267 0.903 Ca
0.866 0.733 0.097 Ca
0.134 0.267 0.597 Ca
0.582 0.164 0.250 Ca
0.418 0.836 0.750 Ca
0.595 0.189 0.452 As
0.405 0.811 0.952 As
0.595 0.189 0.048 As
0.405 0.811 0.548 As
0.293 0.586 0.250 As
0.707 0.414 0.750 As
0.850 0.701 0.882 Pt
0.150 0.299 0.382 Pt
0.850 0.701 0.618 Pt
0.150 0.299 0.118 Pt
```

=====

No. 12
The following is a DFT calculation (PBE) of a relaxed CaLaSn4 crystal.

Density in Mg/m³: 6.10
SG: Cmcm (63)
Electronic total energy in eV/atom: -4.36
Density of states at the Fermi level in states/eV/atom: 0.540

Structure (POSCAR):
```
CaLaSn4
1.0
0.470 -4.404 1.940
5.032 2.241 3.870
-7.421 4.871 6.829
Ca La Sn
2 2 8
direct
0.728 0.250 0.455 Ca
0.272 0.750 0.545 Ca
0.425 0.250 0.850 La
0.575 0.750 0.150 La
0.000 0.000 0.000 Sn
0.000 0.500 0.000 Sn
0.151 0.020 0.302 Sn
0.849 0.520 0.698 Sn
0.151 0.480 0.302 Sn
0.849 0.980 0.698 Sn
0.579 0.250 0.158 Sn
0.421 0.750 0.842 Sn
```